# Fe2AsRuBr GGA-PBE optimized geometry
# raw total energy: -4.94 eV/atom
# formation energy (no corrections): 1.56 eV/atom
# crystal system: tetragonal
data_Fe2AsRuBr
_space_group_name_H-M_alt 'P 4/m m m'
_space_group_IT_number 123
_space_group_name_Hall '-P 4 2'
_cell_length_a 4.4953
_cell_length_b 4.4953
_cell_length_c 4.7981
_cell_angle_alpha 90.00
_cell_angle_beta 90.00
_cell_angle_gamma 90.00
loop_
_atom_site_label
_atom_site_fract_x
_atom_site_fract_y
_atom_site_fract_z
_atom_site_occupancy
Fe1 0.0000 0.5000 0.0000 1
As1 0.0000 0.0000 0.5000 1
Ru1 0.5000 0.5000 0.0000 1
Br1 0.5000 0.5000 0.5000 1